Record 1
## AcScTcGe2 (PBE)

Data for crystalline AcScTcGe2 at its relaxed geometry.

Output
The calculation puts the raw total energy at -0.48365 Ry/atom.

CIF file:
```
data_AcScTcGe2
_chemical_formula_sum 'Ac2 Sc2 Tc2 Ge4'
_space_group_name_H-M_alt 'I -4 m 2'
_space_group_IT_number 119
_space_group_name_Hall 'I -4 -2'
_cell_length_a 4.2554
_cell_length_b 4.2554
_cell_length_c 12.0503
_cell_angle_alpha 90.00
_cell_angle_beta 90.00
_cell_angle_gamma 90.00
loop_
_atom_site_label
_atom_site_fract_x
_atom_site_fract_y
_atom_site_fract_z
Ac1 0.0000 0.0000 0.0000
Sc1 0.0000 0.5000 0.7500
Tc1 0.0000 0.5000 0.2500
Ge1 0.0000 0.0000 0.3860
```

Record 2
## BeTcCl2 (PBE)

Data for crystalline BeTcCl2 at its relaxed geometry.

Output
The energy relative to the elements, uncorrected is 0.78 eV/atom. For the offset from the most stable computed form, the calculation gives 1035.3 meV per atom.

CIF file:
```
data_BeTcCl2
_chemical_formula_sum 'Be4 Tc4 Cl8'
_space_group_name_H-M_alt 'F m -3 m'
_space_group_IT_number 225
_space_group_name_Hall '-F 4 2 3'
_cell_length_a 6.1102
_cell_length_b 6.1102
_cell_length_c 6.1102
_cell_angle_alpha 90.00
_cell_angle_beta 90.00
_cell_angle_gamma 90.00
loop_
_atom_site_label
_atom_site_fract_x
_atom_site_fract_y
_atom_site_fract_z
Be1 0.0000 0.0000 0.0000
Tc1 0.0000 0.0000 0.5000
Cl1 0.2500 0.2500 0.2500
```

Record 3
## Hg2Pd2Au (PBE)

Data for crystalline Hg2Pd2Au at its relaxed geometry.

Output
For the offset from the most stable computed form, the calculation gives 218.8 meV per atom.

CIF file:
```
data_Hg2Pd2Au
_chemical_formula_sum 'Hg4 Pd4 Au2'
_space_group_name_H-M_alt 'I 4/m m m'
_space_group_IT_number 139
_space_group_name_Hall '-I 4 2'
_cell_length_a 3.8081
_cell_length_b 3.8081
_cell_length_c 14.0145
_cell_angle_alpha 90.00
_cell_angle_beta 90.00
_cell_angle_gamma 90.00
loop_
_atom_site_label
_atom_site_fract_x
_atom_site_fract_y
_atom_site_fract_z
Hg1 0.0000 0.0000 0.1026
Pd1 0.0000 0.5000 0.2500
Au1 0.0000 0.0000 0.5000
```

Record 4
## CeSn2P2Rh7 (PBE)

Data for crystalline CeSn2P2Rh7 at its relaxed geometry.

Output
The calculation puts the raw total energy at -0.50323 Ry/atom.

CIF file:
```
data_CeSn2P2Rh7
_chemical_formula_sum 'Ce2 Sn4 P4 Rh14'
_space_group_name_H-M_alt 'C 1 2/m 1'
_space_group_IT_number 12
_cell_length_a 5.7094
_cell_length_b 5.6538
_cell_length_c 12.7808
_cell_angle_alpha 90.00
_cell_angle_beta 98.96
_cell_angle_gamma 90.00
loop_
_space_group_symop_operation_xyz
'x,y,z'
'-x,-y,-z'
'-x,y,-z'
'x,-y,z'
'x+1/2,y+1/2,z'
'-x+1/2,-y+1/2,-z'
'-x+1/2,y+1/2,-z'
'x+1/2,-y+1/2,z'
loop_
_atom_site_label
_atom_site_fract_x
_atom_site_fract_y
_atom_site_fract_z
Ce1 0.0000 0.0000 0.0000
Sn1 0.1262 0.0000 0.3555
P1 0.0862 0.5000 0.2656
Rh1 0.0000 0.5000 0.0000
Rh2 0.2003 0.2516 0.8236
Rh3 0.2125 0.5000 0.4403
```

Record 5
## InSnHRh4 (PBE)

Data for crystalline InSnHRh4 at its relaxed geometry.

Output
The calculation puts the raw total energy at -0.42999 Ry/atom.

CIF file:
```
data_InSnHRh4
_chemical_formula_sum 'In4 Sn4 H4 Rh16'
_space_group_name_H-M_alt 'C m c m'
_space_group_IT_number 63
_space_group_name_Hall '-C 2c 2'
_cell_length_a 5.5632
_cell_length_b 13.4727
_cell_length_c 5.5723
_cell_angle_alpha 90.00
_cell_angle_beta 90.00
_cell_angle_gamma 90.00
loop_
_atom_site_label
_atom_site_fract_x
_atom_site_fract_y
_atom_site_fract_z
In1 0.0000 0.1023 0.2500
Sn1 0.0000 0.3929 0.2500
H1 0.0000 0.2509 0.7500
Rh1 0.0000 0.0944 0.7500
Rh2 0.0000 0.4130 0.7500
Rh3 0.2500 0.2500 0.0000
```

Record 6
## Mg2AgSe (PBE)

Data for crystalline Mg2AgSe at its relaxed geometry.

Output
The energy relative to the elements, uncorrected is -0.47 eV/atom.

CIF file:
```
data_Mg2AgSe
_chemical_formula_sum 'Mg4 Ag2 Se2'
_space_group_name_H-M_alt 'C 1 2/m 1'
_space_group_IT_number 12
_cell_length_a 6.6645
_cell_length_b 3.8557
_cell_length_c 7.1473
_cell_angle_alpha 90.00
_cell_angle_beta 108.28
_cell_angle_gamma 90.00
loop_
_space_group_symop_operation_xyz
'x,y,z'
'-x,-y,-z'
'-x,y,-z'
'x,-y,z'
'x+1/2,y+1/2,z'
'-x+1/2,-y+1/2,-z'
'-x+1/2,y+1/2,-z'
'x+1/2,-y+1/2,z'
loop_
_atom_site_label
_atom_site_fract_x
_atom_site_fract_y
_atom_site_fract_z
Mg1 0.2469 0.0000 0.2379
Ag1 0.0000 0.0000 0.5000
Se1 0.0000 0.5000 0.0000
```

Record 7
## NdPdI (PBE)

Data for crystalline NdPdI at its relaxed geometry.

Output
The energy relative to the elements, uncorrected is -1.05 eV/atom.

CIF file:
```
data_NdPdI
_chemical_formula_sum 'Nd6 Pd6 I6'
_space_group_name_H-M_alt 'R -3 m'
_space_group_IT_number 166
_space_group_name_Hall '-R 3 2"'
_cell_length_a 4.4214
_cell_length_b 4.4214
_cell_length_c 36.0802
_cell_angle_alpha 90.00
_cell_angle_beta 90.00
_cell_angle_gamma 120.00
loop_
_atom_site_label
_atom_site_fract_x
_atom_site_fract_y
_atom_site_fract_z
Nd1 0.0000 0.0000 0.0528
Pd1 0.0000 0.0000 0.3430
I1 0.0000 0.0000 0.2224
```

Record 8
## CePm2N (PBE)

Data for crystalline CePm2N at its relaxed geometry.

Output
The energy relative to the elements, uncorrected is -0.55 eV/atom. For the offset from the most stable computed form, the calculation gives 0.0 meV per atom.

CIF file:
```
data_CePm2N
_chemical_formula_sum 'Ce3 Pm6 N3'
_space_group_name_H-M_alt 'R -3 m'
_space_group_IT_number 166
_space_group_name_Hall '-R 3 2"'
_cell_length_a 3.5085
_cell_length_b 3.5085
_cell_length_c 29.2789
_cell_angle_alpha 90.00
_cell_angle_beta 90.00
_cell_angle_gamma 120.00
loop_
_atom_site_label
_atom_site_fract_x
_atom_site_fract_y
_atom_site_fract_z
Ce1 0.0000 0.0000 0.0000
Pm1 0.0000 0.0000 0.1190
N1 0.0000 0.0000 0.5000
```

Asked for M_tot across the records above, the calculation gives 0.00 0.00 0.00 0.00 2.85 0.00 0.00 4.18 Bohr magnetons per cell in order.